VASP calculation (PBE) on a relaxed Pm2Mg3Pt4 crystal.

Unit cell a=7.270 b=7.370 c=7.348 alpha=90.00 beta=90.00 gamma=110.30
Sites, in units of the cell vectors:
Pm: 0.557 0.192 0.325
Pm: 0.943 0.808 0.825
Pm: 0.443 0.808 0.675
Pm: 0.057 0.192 0.175
Mg: 0.000 0.500 0.500
Mg: 0.500 0.500 0.000
Mg: 0.746 0.256 0.834
Mg: 0.754 0.744 0.334
Mg: 0.254 0.744 0.166
Mg: 0.246 0.256 0.666
Pt: 0.848 0.078 0.541
Pt: 0.652 0.922 0.041
Pt: 0.152 0.922 0.459
Pt: 0.348 0.078 0.959
Pt: 0.867 0.494 0.136
Pt: 0.633 0.506 0.636
Pt: 0.133 0.506 0.864
Pt: 0.367 0.494 0.364

symmetry = No. 14
spin magnetization = 0.000 μB/f.u.
DFT formation energy = -0.952 eV per atom